[1]
LiTl4Ag (PBE, optimized geometry); N(E_F) = 1.348 states/eV/cell; SG = F-43m, No. 216; V = 178.9 Å³/cell; energy of formation = 216 meV per atom
1.0
5.616 -2.700 -1.084
0.527 -6.303 -0.023
1.039 -3.067 -5.433
Tl Li Ag
4 1 1
Direct
0.874 0.375 0.375
0.375 0.375 0.375
0.375 0.375 0.874
0.375 0.874 0.375
0.000 0.000 0.000
0.750 0.750 0.750



[2]
Y2Zn12Au5 (PBE, optimized geometry); N(E_F) = 8.139 states/eV/cell; SG = R-3m, No. 166; V = 330.6 Å³/cell; energy of formation = -282 meV per atom
1.0
6.923 0.106 0.697
0.641 6.894 0.697
0.114 0.106 6.957
Zn Au Y
12 5 2
Direct
0.355 0.355 0.830
0.302 0.000 0.698
0.698 0.302 0.000
0.000 0.698 0.302
0.645 0.170 0.645
0.698 0.000 0.302
0.645 0.645 0.170
0.830 0.355 0.355
0.302 0.698 0.000
0.355 0.830 0.355
0.000 0.302 0.698
0.170 0.645 0.645
0.105 0.105 0.105
0.000 0.500 0.000
0.500 0.000 0.000
0.000 0.000 0.500
0.895 0.895 0.895
0.336 0.336 0.336
0.664 0.664 0.664



[3]
BaZrBi3 (PBE, optimized geometry); E above lowest polymorph = 0.0 meV/atom; N(E_F) = 14.309 states/eV/cell; SG = Pbcm, No. 57; V = 695.4 Å³/cell; energy of formation = -495 meV per atom
1.0
-6.781 0.651 0.085
-0.534 -5.945 2.906
0.815 6.684 13.822
Ba Zr Bi
4 4 12
Direct
0.750 0.987 0.312
0.250 0.013 0.688
0.750 0.487 0.688
0.250 0.513 0.312
0.000 0.750 0.916
0.000 0.250 0.084
0.500 0.750 0.916
0.500 0.250 0.084
0.500 0.250 0.496
0.250 0.126 0.929
0.750 0.374 0.929
0.000 0.250 0.496
0.000 0.750 0.504
0.750 0.991 0.791
0.250 0.009 0.209
0.750 0.491 0.209
0.250 0.626 0.071
0.750 0.874 0.071
0.250 0.509 0.791
0.500 0.750 0.504



[4]
KCeNd2Te4 (PBE, optimized geometry); N(E_F) = 9.413 states/eV/cell; SG = P2/m, No. 10; DFT total energy = -5.016 eV/atom; V = 273.3 Å³/cell
1.0
4.528 0.000 0.000
0.000 7.999 -0.217
0.000 2.759 7.470
Ce Nd K Te
1 2 1 4
Direct
0.500 0.500 0.000
0.000 0.000 0.000
0.500 0.000 0.500
0.000 0.500 0.500
0.000 0.755 0.754
0.500 0.237 0.762
0.000 0.245 0.246
0.500 0.763 0.238



[5]
Cs4Er3TmTe8 (PBE, optimized geometry); SG = R-3m, No. 166; DFT total energy = -4.286 eV/atom; V = 631.1 Å³/cell
1.0
9.044 0.000 0.000
0.000 10.291 0.877
-4.522 -4.521 6.395
Te Tm Cs Er
8 1 4 3
Direct
0.729 0.688 0.459
0.771 0.312 0.542
0.271 0.312 0.541
0.229 0.688 0.458
0.270 0.312 0.041
0.229 0.688 0.959
0.730 0.688 0.959
0.771 0.312 0.041
0.000 0.500 0.000
0.000 0.000 0.000
0.500 0.000 0.000
0.000 0.000 0.500
0.500 0.000 0.500
0.000 0.500 0.500
0.500 0.500 0.000
0.500 0.500 0.500



[6]
KNbAl3 (PBE, optimized geometry); E above lowest polymorph = 0.0 meV/atom; N(E_F) = 5.022 states/eV/cell; SG = Pm-3m, No. 221; V = 138.9 Å³/cell; energy of formation = 446 meV per atom
1.0
5.179 0.000 0.000
0.000 5.179 0.000
0.000 0.000 5.179
Nb Al K
1 3 1
Direct
0.000 0.000 0.000
0.500 0.000 0.000
0.000 0.000 0.500
0.000 0.500 0.000
0.500 0.500 0.500



[7]
La2ZnRhAu (PBE, optimized geometry); N(E_F) = 5.548 states/eV/cell; SG = P2_1/m, No. 11; V = 243.8 Å³/cell; energy of formation = -700 meV per atom
1.0
-2.344 2.667 -2.342
-6.532 -3.489 2.566
1.934 5.863 4.741
La Au Rh Zn
4 2 2 2
Direct
0.250 0.131 0.362
0.250 0.282 0.964
0.750 0.869 0.638
0.750 0.718 0.036
0.750 0.322 0.672
0.250 0.678 0.328
0.250 0.877 0.892
0.750 0.123 0.108
0.750 0.450 0.341
0.250 0.550 0.659



[8]
CuSn12Au6 (PBE, optimized geometry); N(E_F) = 9.111 states/eV/cell; SG = R-3, No. 148; V = 506.9 Å³/cell; energy of formation = -101 meV per atom
1.0
7.956 0.213 -1.466
-1.798 7.753 -1.466
0.165 0.213 8.088
Sn Au Cu
12 6 1
Direct
0.554 0.822 0.411
0.589 0.446 0.178
0.058 0.318 0.937
0.063 0.942 0.682
0.942 0.682 0.063
0.446 0.178 0.589
0.682 0.063 0.942
0.178 0.589 0.446
0.937 0.058 0.318
0.411 0.554 0.822
0.822 0.411 0.554
0.318 0.937 0.058
0.603 0.139 0.293
0.707 0.397 0.861
0.139 0.293 0.603
0.861 0.707 0.397
0.397 0.861 0.707
0.293 0.603 0.139
0.000 0.000 0.000



[9]
PmCuSnAs (PBE, optimized geometry); N(E_F) = 1.513 states/eV/cell; SG = F-43m, No. 216; V = 88.8 Å³/cell; energy of formation = -317 meV per atom
1.0
5.007 0.000 0.000
2.504 4.337 0.000
2.504 1.446 4.089
As Sn Pm Cu
1 1 1 1
Direct
0.500 0.500 0.500
0.250 0.250 0.250
0.750 0.750 0.750
0.000 0.000 0.000



[10]
PrAlTl2 (PBE, optimized geometry); E above lowest polymorph = 472.3 meV/atom; N(E_F) = 2.677 states/eV/cell; SG = R-3m, No. 166; V = 118.6 Å³/cell; energy of formation = 215 meV per atom
1.0
-0.754 -1.883 2.850
2.579 -1.395 1.907
1.014 8.189 7.826
Tl Pr Al
2 1 1
Direct
0.097 0.097 0.710
0.903 0.903 0.290
0.000 0.000 0.000
0.500 0.500 0.500



[11]
LaTa (PBE, optimized geometry); E above lowest polymorph = 545.5 meV/atom; N(E_F) = 3.759 states/eV/cell; SG = Pm-3m, No. 221; V = 49.9 Å³/cell; energy of formation = 825 meV per atom
1.0
-3.627 -0.518 0.371
0.463 -0.671 3.591
-0.437 3.584 0.726
Ta La
1 1
Direct
0.500 0.500 0.500
0.000 0.000 0.000



[12]
Ta6SbS12 (PBE, optimized geometry); N(E_F) = 8.704 states/eV/cell; SG = R-3m, No. 166; DFT total energy = -7.033 eV/atom; V = 368.4 Å³/cell
1.0
-2.620 -6.519 2.336
6.665 0.369 3.203
-3.990 4.891 3.871
S Sb Ta
12 1 6
Direct
0.823 0.539 0.539
0.872 0.500 0.128
0.461 0.177 0.461
0.500 0.872 0.128
0.128 0.872 0.500
0.500 0.128 0.872
0.539 0.823 0.539
0.177 0.461 0.461
0.128 0.500 0.872
0.461 0.461 0.177
0.872 0.128 0.500
0.539 0.539 0.823
0.000 0.000 0.000
0.756 0.354 0.756
0.646 0.244 0.244
0.244 0.244 0.646
0.756 0.756 0.354
0.244 0.646 0.244
0.354 0.756 0.756



> Look up the V of the eighth one.

506.9 Å³/cell